Density functional theory data (GGA-PBE) for a geometry-optimized NaTl2Au structure.

The structure in CIF format:
```
data_NaTl2Au
_chemical_formula_sum 'Na1 Tl2 Au1'
_cell_length_a 4.6962
_cell_length_b 4.6962
_cell_length_c 4.5540
_cell_angle_alpha 90.00
_cell_angle_beta 90.00
_cell_angle_gamma 90.00
_space_group_name_H-M_alt 'P 4/m m m'
_space_group_IT_number 123
_space_group_name_Hall '-P 4 2'
loop_
_atom_site_label
_atom_site_type_symbol
_atom_site_fract_x
_atom_site_fract_y
_atom_site_fract_z
Na1 Na 0.0000 0.0000 0.0000
Tl1 Tl 0.0000 0.5000 0.5000
Au1 Au 0.5000 0.5000 0.0000
```

Values from the calculation:
formation energy from the elements	-0.104	eV/atom
final energy	-9.743	eV per cell
theoretical density	10.4	Mg/m³